A plane-wave DFT calculation with GGA-PBE was carried out for a relaxed structure of Cs2TlOsO4.

Geometry as POSCAR:
```
Cs2TlOsO4
1.0
6.9040 0.0000 0.0000
3.4520 6.9194 0.0000
3.4520 0.0000 11.3364
O Cs Os Tl
8 4 2 2
Cartesian
11.6430 5.6117 11.0309
5.6170 5.6117 0.3056
6.4650 4.7674 5.3627
6.4650 2.1520 5.9738
10.7950 4.7674 5.9738
3.8910 2.1520 5.3627
4.7390 1.3077 0.3056
5.6170 1.3077 11.0309
8.6300 3.4597 9.8275
6.9040 0.0000 4.1592
8.6300 3.4597 1.5090
3.4520 0.0000 7.1772
5.1780 3.4597 5.6682
3.4520 0.0000 0.0000
8.6300 3.4597 5.6682
0.0000 0.0000 0.0000
```

Properties
* formation energy (no corrections): -0.980 eV/atom
* total moment: 2.057 μB/cell